[1]
This record from Alexandria describes LiZn6O6 after structural relaxation. The functional is GGA-PBE.

a = 5.7250 Å, b = 5.7250 Å, c = 5.7250 Å
α = 90.00°, β = 90.00°, γ = 90.00°
Element x y z (fractional)
Zn1 0.5000 0.0000 0.2541
Zn2 0.5000 0.0000 0.7459
Zn3 0.2541 0.5000 0.0000
Zn4 0.0000 0.2541 0.5000
Zn5 0.7459 0.5000 0.0000
Zn6 0.0000 0.7459 0.5000
O1 0.2466 0.0000 0.5000
O2 0.7534 0.0000 0.5000
O3 0.5000 0.2466 0.0000
O4 0.5000 0.7534 0.0000
O5 0.0000 0.5000 0.7534
O6 0.0000 0.5000 0.2466
Li1 0.0000 0.0000 0.0000

## Properties
Its formation energy (no corrections) is -118.7 kJ/mol of atoms. The space-group type is Pm-3. The calculation puts the electronic total energy at -4.25 eV per atom.



[2]
This record from Alexandria describes Li2ZrZnO after structural relaxation. The functional is GGA-PBE.

a = 4.0909 Å, b = 4.0909 Å, c = 4.3162 Å
α = 90.00°, β = 90.00°, γ = 90.00°
Element x y z (fractional)
O1 0.0000 0.0000 0.0000
Zr1 0.0000 0.0000 0.5000
Li1 0.5000 0.0000 0.0000
Li2 0.0000 0.5000 0.0000
Zn1 0.5000 0.5000 0.5000

## Properties
Its formation energy (no corrections) is -99.0 kJ/mol of atoms. The space-group type is P4/mmm. The calculation puts the electronic total energy at -4.75 eV per atom.



[3]
This record from Alexandria describes Li8ZrO6 after structural relaxation. The functional is GGA-PBE.

a = 6.1149 Å, b = 6.1149 Å, c = 6.1149 Å
α = 53.87°, β = 53.87°, γ = 53.87°
Element x y z (fractional)
Li1 0.2336 0.5052 0.8965
Li2 0.1035 0.7664 0.4948
Li3 0.6556 0.6556 0.6556
Li4 0.4948 0.1035 0.7664
Li5 0.3444 0.3444 0.3444
Li6 0.7664 0.4948 0.1035
Li7 0.8965 0.2336 0.5052
Li8 0.5052 0.8965 0.2336
Zr1 0.0000 0.0000 0.0000
O1 0.6124 0.2355 0.9077
O2 0.0923 0.3876 0.7645
O3 0.2355 0.9077 0.6124
O4 0.7645 0.0923 0.3876
O5 0.9077 0.6124 0.2355
O6 0.3876 0.7645 0.0923

## Properties
The energy above the lowest structure with this stoichiometry comes out at 0 meV per atom. Its formation energy (no corrections) is -210.4 kJ/mol of atoms. The space-group type is R-3. The calculation puts the electronic total energy at -5.75 eV per atom.



[4]
This record from Alexandria describes Li8ZrO6 after structural relaxation. The functional is GGA-PBE.

a = 5.7432 Å, b = 5.7432 Å, c = 10.9378 Å
α = 90.00°, β = 90.00°, γ = 120.00°
Element x y z (fractional)
Li1 0.5840 0.5840 0.6262
Li2 0.4160 0.4160 0.1262
Li3 0.6823 0.6823 0.2687
Li4 0.0000 0.3177 0.2687
Li5 0.3333 0.6667 0.4047
Li6 0.0000 0.5840 0.1262
Li7 0.6667 0.3333 0.4047
Li8 0.5840 0.0000 0.1262
Li9 0.3333 0.6667 0.9047
Li10 0.6823 0.0000 0.7687
Li11 0.4160 0.0000 0.6262
Li12 0.3177 0.0000 0.2687
Li13 0.0000 0.6823 0.7687
Li14 0.3177 0.3177 0.7687
Li15 0.0000 0.4160 0.6262
Li16 0.6667 0.3333 0.9047
Zr1 0.0000 0.0000 0.4969
Zr2 0.0000 0.0000 0.9969
O1 0.0000 0.6675 0.9490
O2 0.0000 0.3325 0.4490
O3 0.3325 0.3325 0.9490
O4 0.6667 0.3333 0.2132
O5 0.6667 0.3333 0.7132
O6 0.0000 0.0000 0.6812
O7 0.3333 0.6667 0.2132
O8 0.6675 0.0000 0.9490
O9 0.0000 0.0000 0.1812
O10 0.3325 0.0000 0.4490
O11 0.6675 0.6675 0.4490
O12 0.3333 0.6667 0.7132

## Properties
The energy above the lowest structure with this stoichiometry comes out at 55 meV per atom. Its formation energy (no corrections) is -205.2 kJ/mol of atoms. The space-group type is P6_3cm. The calculation puts the electronic total energy at -5.70 eV per atom.



[5]
This record from Alexandria describes LiZr2O2 after structural relaxation. The functional is GGA-PBE.

a = 4.4488 Å, b = 4.4488 Å, c = 4.8254 Å
α = 62.55°, β = 62.55°, γ = 90.00°
Element x y z (fractional)
O1 0.7438 0.7438 0.5124
O2 0.2562 0.2562 0.4876
Zr1 0.7500 0.2500 0.5000
Zr2 0.2500 0.7500 0.5000
Li1 0.0000 0.0000 0.0000

## Properties
The energy above the lowest structure with this stoichiometry comes out at 0 meV per atom. Its formation energy (no corrections) is -168.5 kJ/mol of atoms. The space-group type is I4/mmm. The calculation puts the electronic total energy at -7.53 eV per atom.



[6]
This record from Alexandria describes Li2ZrO3 after structural relaxation. The functional is GGA-PBE.

a = 5.3229 Å, b = 5.3229 Å, c = 5.4557 Å
α = 78.95°, β = 78.95°, γ = 118.51°
Element x y z (fractional)
Zr1 0.0911 0.9089 0.2500
Zr2 0.9089 0.0911 0.7500
Li1 0.5762 0.4238 0.7500
Li2 0.4238 0.5762 0.2500
Li3 0.7419 0.2581 0.2500
Li4 0.2581 0.7419 0.7500
O1 0.6935 0.8451 0.5124
O2 0.8451 0.6935 0.0124
O3 0.3065 0.1549 0.4876
O4 0.5000 0.0000 0.0000
O5 0.0000 0.5000 0.5000
O6 0.1549 0.3065 0.9876

## Properties
Its formation energy (no corrections) is -259.5 kJ/mol of atoms. The space-group type is C2/c. The calculation puts the electronic total energy at -7.23 eV per atom.



[7]
This record from Alexandria describes Li3ZrO after structural relaxation. The functional is GGA-PBE.

a = 5.4670 Å, b = 5.4670 Å, c = 5.4670 Å
α = 90.00°, β = 90.00°, γ = 90.00°
Element x y z (fractional)
Li1 0.0000 0.0000 0.5000
Li2 0.5000 0.0000 0.0000
Li3 0.0000 0.5000 0.0000
O1 0.5000 0.5000 0.5000
Zr1 0.0000 0.0000 0.0000

## Properties
The energy above the lowest structure with this stoichiometry comes out at 1687 meV per atom. Its formation energy (no corrections) is 139.8 kJ/mol of atoms. The space-group type is Pm-3m. The calculation puts the electronic total energy at -2.40 eV per atom.



[8]
This record from Alexandria describes Li5ZrO4 after structural relaxation. The functional is GGA-PBE.

a = 5.1789 Å, b = 8.7584 Å, c = 6.0418 Å
α = 90.00°, β = 90.00°, γ = 90.00°
Element x y z (fractional)
O1 0.5783 0.0000 0.2420
O2 0.0923 0.8097 0.0000
O3 0.4217 0.5000 0.2580
O4 0.9077 0.6903 0.5000
O5 0.9077 0.3097 0.5000
O6 0.4217 0.5000 0.7420
O7 0.0923 0.1903 0.0000
O8 0.5783 0.0000 0.7580
Li1 0.8340 0.1564 0.7389
Li2 0.8340 0.1564 0.2611
Li3 0.1660 0.3436 0.2389
Li4 0.8340 0.8436 0.7389
Li5 0.3996 0.0000 0.5000
Li6 0.8340 0.8436 0.2611
Li7 0.1660 0.6564 0.2389
Li8 0.1660 0.3436 0.7611
Li9 0.1660 0.6564 0.7611
Li10 0.6004 0.5000 0.0000
Zr1 0.6834 0.5000 0.5000
Zr2 0.3166 0.0000 0.0000

## Properties
The energy above the lowest structure with this stoichiometry comes out at 59 meV per atom. Its formation energy (no corrections) is -197.6 kJ/mol of atoms. The space-group type is Pmmn. The calculation puts the electronic total energy at -5.84 eV per atom.



[9]
This record from Alexandria describes Li2ZrO3 after structural relaxation. The functional is GGA-PBE.

a = 3.4700 Å, b = 6.0185 Å, c = 6.0185 Å
α = 114.70°, β = 90.00°, γ = 90.00°
Element x y z (fractional)
Li1 0.0000 0.1993 0.1993
Li2 0.5000 0.1993 0.1993
Li3 0.0000 0.8007 0.8007
Li4 0.5000 0.8007 0.8007
Zr1 0.2500 0.2481 0.7519
Zr2 0.7500 0.7519 0.2481
O1 0.2500 0.8920 0.1080
O2 0.7500 0.1080 0.8920
O3 0.7500 0.5420 0.8427
O4 0.2500 0.8427 0.5420
O5 0.7500 0.1573 0.4580
O6 0.2500 0.4580 0.1573

## Properties
Its formation energy (no corrections) is -217.1 kJ/mol of atoms. The space-group type is Cmcm. The calculation puts the electronic total energy at -6.79 eV per atom.



[10]
This record from Alexandria describes Li5Zr3O8 after structural relaxation. The functional is GGA-PBE.

a = 6.2965 Å, b = 6.2965 Å, c = 6.1921 Å
α = 59.44°, β = 59.44°, γ = 60.00°
Element x y z (fractional)
O1 0.7520 0.7520 0.7441
O2 0.7517 0.2326 0.2640
O3 0.2483 0.7674 0.7360
O4 0.2326 0.7517 0.2640
O5 0.7517 0.7517 0.2640
O6 0.7674 0.2483 0.7360
O7 0.2480 0.2480 0.2559
O8 0.2483 0.2483 0.7360
Li1 0.5000 0.0000 0.0000
Li2 0.0000 0.5000 0.0000
Li3 0.5000 0.5000 0.0000
Li4 0.5000 0.5000 0.5000
Li5 0.0000 0.0000 0.0000
Zr1 0.5000 0.0000 0.5000
Zr2 0.0000 0.0000 0.5000
Zr3 0.0000 0.5000 0.5000

## Properties
Its formation energy (no corrections) is -250.1 kJ/mol of atoms. The space-group type is R-3m. The calculation puts the electronic total energy at -7.27 eV per atom.



[11]
This record from Alexandria describes Li4Zr3O8 after structural relaxation. The functional is GGA-PBE.

a = 5.5040 Å, b = 5.5040 Å, c = 6.2080 Å
α = 90.00°, β = 90.00°, γ = 112.27°
Element x y z (fractional)
Zr1 0.0000 0.0000 0.0000
Zr2 0.5000 0.0000 0.2763
Zr3 0.0000 0.5000 0.7237
Li1 0.0000 0.5000 0.2443
Li2 0.5000 0.5000 0.0000
Li3 0.0000 0.0000 0.5000
Li4 0.5000 0.0000 0.7557
O1 0.7606 0.2394 0.0000
O2 0.7670 0.2330 0.5000
O3 0.2163 0.2663 0.7686
O4 0.2330 0.7670 0.5000
O5 0.2663 0.2163 0.2314
O6 0.7337 0.7837 0.2314
O7 0.7837 0.7337 0.7686
O8 0.2394 0.7606 0.0000

## Properties
The energy above the lowest structure with this stoichiometry comes out at 23 meV per atom. Its formation energy (no corrections) is -265.8 kJ/mol of atoms. The space-group type is C222. The calculation puts the electronic total energy at -7.62 eV per atom.



[12]
This record from Alexandria describes LiZr2O2 after structural relaxation. The functional is GGA-PBE.

a = 6.4808 Å, b = 6.4808 Å, c = 2.9525 Å
α = 90.00°, β = 90.00°, γ = 90.00°
Element x y z (fractional)
Zr1 0.3370 0.1630 0.5000
Zr2 0.8370 0.3370 0.5000
Zr3 0.6630 0.8370 0.5000
Zr4 0.1630 0.6630 0.5000
O1 0.8626 0.6374 0.0000
O2 0.1374 0.3626 0.0000
O3 0.6374 0.1374 0.0000
O4 0.3626 0.8626 0.0000
Li1 0.0000 0.0000 0.0000
Li2 0.5000 0.5000 0.0000

## Properties
The energy above the lowest structure with this stoichiometry comes out at 307 meV per atom. Its formation energy (no corrections) is -138.9 kJ/mol of atoms. The space-group type is P4/mbm. The calculation puts the electronic total energy at -7.22 eV per atom.